{
  "formula": "HoIn2Pd",
  "functional": "PBE-GGA",
  "state": "optimized geometry",
  "lattice_angstrom": [[-2.378, -3.952, -3.317], [-2.446, -3.638, 6.088], [-14.235, 8.902, -0.399]],
  "species": ["Pd", "Pd", "Pd", "Pd", "Pd", "Pd", "Pd", "Pd", "In", "In", "In", "In", "In", "In", "In", "In", "In", "In", "In", "In", "In", "In", "In", "In", "Ho", "Ho", "Ho", "Ho", "Ho", "Ho", "Ho", "Ho"],
  "fractional_positions": [[0.721, 0.750, 0.170], [0.779, 0.750, 0.670], [0.009, 0.750, 0.925], [0.991, 0.250, 0.075], [0.491, 0.750, 0.425], [0.279, 0.250, 0.830], [0.221, 0.250, 0.330], [0.509, 0.250, 0.575], [0.969, 0.049, 0.217], [0.531, 0.049, 0.717], [0.764, 0.547, 0.532], [0.736, 0.547, 0.032], [0.031, 0.549, 0.783], [0.736, 0.953, 0.032], [0.236, 0.453, 0.468], [0.469, 0.549, 0.283], [0.969, 0.451, 0.217], [0.764, 0.953, 0.532], [0.531, 0.451, 0.717], [0.469, 0.951, 0.283], [0.236, 0.047, 0.468], [0.264, 0.453, 0.968], [0.264, 0.047, 0.968], [0.031, 0.951, 0.783], [0.533, 0.750, 0.856], [0.230, 0.750, 0.108], [0.033, 0.250, 0.644], [0.270, 0.750, 0.608], [0.967, 0.750, 0.356], [0.467, 0.250, 0.144], [0.770, 0.250, 0.892], [0.730, 0.250, 0.392]],
  "crystal_system": "orthorhombic",
  "magnetic_moment_mub_per_cell": 0.0,
  "spacegroup": "Pnma",
  "formation_enthalpy_0k_ev_per_atom": -0.608
}


{
  "formula": "HoIn5Pd6",
  "functional": "PBE-GGA",
  "state": "optimized geometry",
  "lattice_angstrom": [[-4.359, -1.356, -1.108], [2.454, -5.742, -2.631], [1.628, -2.403, 6.762]],
  "species": ["In", "In", "In", "In", "In", "Ho", "Pd", "Pd", "Pd", "Pd", "Pd", "Pd"],
  "fractional_positions": [[0.668, 0.000, 0.333], [0.665, 0.500, 0.326], [0.332, 0.000, 0.667], [0.000, 0.500, 0.000], [0.335, 0.500, 0.674], [0.000, 0.000, 0.000], [0.500, 0.744, 0.000], [0.500, 0.256, 0.000], [0.174, 0.256, 0.341], [0.174, 0.744, 0.341], [0.826, 0.744, 0.659], [0.826, 0.256, 0.659]],
  "crystal_system": "monoclinic",
  "magnetic_moment_mub_per_cell": 0.0,
  "spacegroup": "P2/m",
  "formation_enthalpy_0k_ev_per_atom": -0.605
}


{
  "formula": "HoInPd",
  "functional": "PBE-GGA",
  "state": "optimized geometry",
  "lattice_angstrom": [[-2.261, 2.785, 1.060], [-2.541, -4.351, 6.011], [9.838, 5.022, 7.793]],
  "species": ["Ho", "Ho", "Ho", "Ho", "Ho", "Ho", "In", "In", "In", "In", "In", "In", "Pd", "Pd", "Pd", "Pd", "Pd", "Pd"],
  "fractional_positions": [[0.000, 0.222, 0.952], [0.000, 0.163, 0.250], [0.000, 0.222, 0.548], [0.000, 0.778, 0.452], [0.000, 0.837, 0.750], [0.000, 0.778, 0.048], [0.500, 0.186, 0.750], [0.500, 0.566, 0.889], [0.500, 0.566, 0.611], [0.500, 0.434, 0.389], [0.500, 0.814, 0.250], [0.500, 0.434, 0.111], [0.500, 0.067, 0.097], [0.500, 0.933, 0.903], [0.000, 0.551, 0.250], [0.000, 0.449, 0.750], [0.500, 0.933, 0.597], [0.500, 0.067, 0.403]],
  "crystal_system": "orthorhombic",
  "magnetic_moment_mub_per_cell": 0.0,
  "spacegroup": "Pmma",
  "formation_enthalpy_0k_ev_per_atom": -0.793
}


{
  "formula": "Ho5InPd4",
  "functional": "PBE-GGA",
  "state": "optimized geometry",
  "lattice_angstrom": [[3.539, 0.000, 0.000], [0.000, 3.539, 0.000], [0.000, 0.000, 17.850]],
  "species": ["In", "Ho", "Ho", "Ho", "Ho", "Ho", "Pd", "Pd", "Pd", "Pd"],
  "fractional_positions": [[0.000, 0.000, 0.000], [0.500, 0.500, 0.692], [0.500, 0.500, 0.500], [0.500, 0.500, 0.883], [0.500, 0.500, 0.117], [0.500, 0.500, 0.308], [0.000, 0.000, 0.404], [0.000, 0.000, 0.791], [0.000, 0.000, 0.209], [0.000, 0.000, 0.596]],
  "crystal_system": "tetragonal",
  "magnetic_moment_mub_per_cell": 0.0,
  "spacegroup": "P4/mmm",
  "formation_enthalpy_0k_ev_per_atom": -0.814
}


{
  "formula": "Ho2InPd3",
  "functional": "PBE-GGA",
  "state": "optimized geometry",
  "lattice_angstrom": [[-4.581, -1.645, 0.127], [3.549, -2.816, -1.783], [1.884, -4.418, 10.726]],
  "species": ["Pd", "Pd", "Pd", "Pd", "Pd", "Pd", "Ho", "Ho", "Ho", "Ho", "In", "In"],
  "fractional_positions": [[0.000, 0.000, 0.750], [0.333, 0.667, 0.918], [0.000, 0.000, 0.250], [0.333, 0.667, 0.426], [0.667, 0.333, 0.082], [0.667, 0.333, 0.574], [0.667, 0.333, 0.821], [0.333, 0.667, 0.179], [0.000, 0.000, 0.000], [0.000, 0.000, 0.500], [0.333, 0.667, 0.667], [0.667, 0.333, 0.333]],
  "crystal_system": "trigonal",
  "magnetic_moment_mub_per_cell": 0.0,
  "spacegroup": "P-3m1",
  "formation_enthalpy_0k_ev_per_atom": -0.850
}


{
  "formula": "Ho2InPd8",
  "functional": "PBE-GGA",
  "state": "optimized geometry",
  "lattice_angstrom": [[-3.983, 2.348, 0.126], [-3.032, -5.198, 0.996], [4.261, 2.327, 6.455]],
  "species": ["Pd", "Pd", "Pd", "Pd", "Pd", "Pd", "Pd", "Pd", "Ho", "Ho", "In"],
  "fractional_positions": [[0.176, 0.176, 0.353], [0.358, 0.590, 0.716], [0.358, 0.125, 0.715], [0.824, 0.824, 0.647], [0.642, 0.410, 0.284], [0.642, 0.875, 0.285], [0.000, 0.737, 0.000], [0.000, 0.263, 0.000], [0.810, 0.310, 0.620], [0.190, 0.690, 0.380], [0.500, 0.000, 0.000]],
  "crystal_system": "orthorhombic",
  "magnetic_moment_mub_per_cell": 0.0,
  "spacegroup": "Immm",
  "formation_enthalpy_0k_ev_per_atom": -0.623
}